# 1
First-principles (GGA-PBE) data for an optimized crystal structure of Ba2YTaTl, as listed in Alexandria.

Calculated values
The calculation puts the total energy at -20.84 eV per cell.

Cell: 6.1685 6.1685 5.5407 Å, 90.00 90.00 90.00°
With the nearest neighbours (Å) after each atom.
Space group P4/mmm (No. 123)
Inequivalent atoms, fractional coordinates:
Ba 0.0000 0.5000 0.0000  2 Ta 3.08
Y 0.0000 0.0000 0.5000  2 Ta 2.77
Ta 0.0000 0.0000 0.0000  2 Y 2.77, 4 Ba 3.08
Tl 0.5000 0.5000 0.5000  8 Ba 4.15, 4 Y 4.36


# 2
First-principles (GGA-PBE) data for an optimized crystal structure of TbZr2Mo, as listed in Alexandria.

Calculated values
For the energy above the most stable polymorph in this dataset, the calculation gives 1.07 eV per formula unit. The calculation puts the total energy at -93.64 eV per cell.

Cell: 3.2559 3.2559 31.3638 Å, 90.00 90.00 120.00°
With the nearest neighbours (Å) after each atom.
Space group R-3m (No. 166, hexagonal axes)
Inequivalent atoms, fractional coordinates:
Tb 0.0000 0.0000 0.0000  2 Zr 3.18, 6 Tb 3.26
Zr 0.0000 0.0000 0.1014  3 Mo 2.78
Mo 0.0000 0.0000 0.5000  6 Zr 2.78